Entry 1:
## LiCeSbO (GGA-PBE)

Data for LiCeSbO after structural relaxation.

a b c (Å): 4.041 4.041 9.827
angles (deg): 90.00 90.00 90.00
Last column: magnetic moment on the atom in μB.
Positions (direct):
Li  0.000  0.000  0.500  0.00
Li  0.500  0.500  0.500  0.00
Ce  0.000  0.500  0.878  0.37
Ce  0.500  0.000  0.122  0.37
Sb  0.500  0.000  0.695  -0.03
Sb  0.000  0.500  0.305  -0.03
O  0.500  0.500  0.000  -0.02
O  0.000  0.000  0.000  -0.02

Calculated values
For the density of states at the Fermi level, the calculation gives 3.2 states/eV/f.u. As for the uncorrected formation energy: -1.851 eV/atom. The density comes out at 5.89 g cm⁻³. The calculation puts the spin magnetization at 0.6 μB/cell.

***

Entry 2:
## Li2Ce2Sb2O (GGA-PBE)

Data for Li2Ce2Sb2O after structural relaxation.

a b c (Å): 4.495 4.495 8.365
angles (deg): 105.59 105.59 90.00
Last column: magnetic moment on the atom in μB.
Positions (direct):
Li  0.000  0.500  0.000  0.01
Li  0.500  0.000  0.000  0.01
Ce  0.148  0.148  0.297  0.79
Ce  0.852  0.852  0.703  0.79
Sb  0.364  0.364  0.728  -0.03
Sb  0.636  0.636  0.272  -0.03
O  0.000  0.000  0.000  -0.02

Calculated values
For the density of states at the Fermi level, the calculation gives 10.5 states/eV/f.u. As for the uncorrected formation energy: -1.414 eV/atom. The density comes out at 5.88 g cm⁻³. The calculation puts the spin magnetization at 1.8 μB/cell.

***

Entry 3:
## LiCeScO4 (GGA-PBE)

Data for LiCeScO4 after structural relaxation.

a b c (Å): 6.309 6.611 6.611
angles (deg): 65.21 61.50 61.50
Positions (direct):
Li  0.599  0.651  0.151
Li  0.401  0.349  0.849
Ce  0.000  0.000  0.000
Ce  0.000  0.500  0.500
Sc  0.500  0.000  0.500
Sc  0.000  0.000  0.500
O  0.762  0.786  0.690
O  0.238  0.810  0.714
O  0.762  0.190  0.286
O  0.238  0.214  0.310
O  0.214  0.766  0.266
O  0.755  0.766  0.266
O  0.245  0.234  0.734
O  0.786  0.234  0.734

Calculated values
For the density of states at the Fermi level, the calculation gives 0.0 states/eV/f.u. As for the uncorrected formation energy: -3.040 eV/atom. The density comes out at 4.12 g cm⁻³. The calculation puts the spin magnetization at 0.0 μB/cell.

***

Entry 4:
## LiCeSc4O8 (GGA-PBE)

Data for LiCeSc4O8 after structural relaxation.

a b c (Å): 6.324 6.324 6.631
angles (deg): 61.52 61.52 60.00
Last column: magnetic moment on the atom in μB.
Positions (direct):
Li  0.406  0.406  0.781  0.00
Ce  0.999  0.999  0.002  0.78
Sc  0.624  0.624  0.129  0.04
Sc  0.001  0.487  0.510  0.03
Sc  0.487  0.001  0.510  0.03
Sc  0.001  0.001  0.510  0.03
O  0.247  0.786  0.720  -0.01
O  0.786  0.247  0.720  -0.01
O  0.247  0.247  0.720  -0.01
O  0.227  0.227  0.319  0.00
O  0.743  0.234  0.280  -0.01
O  0.234  0.743  0.280  -0.01
O  0.743  0.743  0.280  -0.01
O  0.754  0.754  0.739  0.00

Calculated values
For the density of states at the Fermi level, the calculation gives 5.2 states/eV/f.u. As for the uncorrected formation energy: -3.212 eV/atom. The density comes out at 3.94 g cm⁻³. The calculation puts the spin magnetization at 1.0 μB/cell.

***

Entry 5:
## Li2Ce2ScO6 (GGA-PBE)

Data for Li2Ce2ScO6 after structural relaxation.

a b c (Å): 5.774 5.774 6.240
angles (deg): 62.44 62.44 60.00
Last column: magnetic moment on the atom in μB.
Positions (direct):
Li  0.424  0.424  0.728  0.00
Li  0.576  0.576  0.272  0.00
Ce  0.806  0.806  0.581  0.52
Ce  0.194  0.194  0.419  0.52
Sc  0.000  0.000  0.000  0.00
O  0.755  0.755  0.280  -0.01
O  0.210  0.755  0.280  -0.01
O  0.755  0.210  0.280  -0.01
O  0.245  0.790  0.720  -0.01
O  0.790  0.245  0.720  -0.01
O  0.245  0.245  0.720  -0.01

Calculated values
For the density of states at the Fermi level, the calculation gives 5.1 states/eV/f.u. As for the uncorrected formation energy: -2.695 eV/atom. The density comes out at 4.74 g cm⁻³. The calculation puts the spin magnetization at 1.0 μB/cell.

***

Entry 6:
## LiCeSiO4 (GGA-PBE)

Data for LiCeSiO4 after structural relaxation.

a b c (Å): 5.541 5.564 6.349
angles (deg): 90.00 110.18 90.00
Last column: magnetic moment on the atom in μB.
Positions (direct):
Li  0.813  0.750  0.515  0.00
Li  0.187  0.250  0.485  0.00
Ce  0.726  0.750  0.952  0.96
Ce  0.274  0.250  0.048  0.96
Si  0.274  0.750  0.328  0.00
Si  0.726  0.250  0.672  0.00
O  0.926  0.482  0.748  -0.01
O  0.074  0.982  0.252  -0.01
O  0.074  0.518  0.252  -0.01
O  0.926  0.018  0.748  -0.01
O  0.459  0.750  0.169  -0.01
O  0.541  0.250  0.831  -0.01
O  0.447  0.750  0.591  -0.01
O  0.553  0.250  0.409  -0.01

Calculated values
For the density of states at the Fermi level, the calculation gives 7.1 states/eV/f.u. As for the uncorrected formation energy: -2.819 eV/atom. The density comes out at 4.32 g cm⁻³. The calculation puts the spin magnetization at 2.0 μB/cell.